A plane-wave DFT calculation with GGA-PBEsol was carried out for crystalline SiAg at its relaxed geometry.

Values from the calculation:
M_tot: 0.000 μB/atom
relative energy among the computed polymorphs: 43 meV/atom
crystal system: tetragonal
DOS at the Fermi energy: 2.4 states/eV per cell
DFT total energy: -4.228 eV per atom
E_form (uncorrected): 0.301 eV/atom

abc: 3.984 3.984 8.037
angles: 90.00 90.00 90.00
Space group I4_1/amd (No. 141, origin choice 2)
Symmetry-distinct sites (fractional):
1 Si 0.000 0.250 0.375 (multiplicity 4)
2 Ag 0.000 0.250 0.875 (multiplicity 4)